1.
## SiHg2Mo (PBE)

Data for a relaxed structure of SiHg2Mo.

a = 2.864 Å, b = 2.864 Å, c = 9.357 Å
α = 90.00°, β = 90.00°, γ = 90.18°
Fractional coordinates of all 4 atoms:
Si  0.000  0.000  0.000
Hg  0.500  0.500  0.262
Hg  0.500  0.500  0.738
Mo  0.000  0.000  0.500

As for the space-group type: Cmmm. For the uncorrected formation energy, the calculation gives 2.75 eV/f.u. As for the crystal system: orthorhombic. The calculation puts the density of states at the Fermi level at 2.460 states/eV/f.u.

2.
## K2SbHPb (PBE)

Data for a relaxed structure of K2SbHPb.

a = 9.366 Å, b = 4.315 Å, c = 9.781 Å
α = 90.00°, β = 112.47°, γ = 90.00°
Fractional coordinates of all 10 atoms:
K  0.146  0.250  0.174
K  0.264  0.750  0.864
K  0.736  0.250  0.136
K  0.854  0.750  0.826
Sb  0.487  0.750  0.267
Sb  0.513  0.250  0.733
H  0.076  0.250  0.878
H  0.924  0.750  0.122
Pb  0.344  0.750  0.518
Pb  0.656  0.250  0.482

As for the space-group type: P2_1/m. The energy relative to the lowest polymorph listed for this composition comes out at 0 meV per atom. As for the crystal system: monoclinic.

3.
## Ho2NpCuO8 (PBE)

Data for a relaxed structure of Ho2NpCuO8.

a = 4.028 Å, b = 5.199 Å, c = 7.426 Å
α = 81.34°, β = 86.81°, γ = 81.81°
Fractional coordinates of all 12 atoms:
Ho  0.022  0.047  0.229
Ho  0.978  0.953  0.771
Np  0.500  0.500  0.500
Cu  0.500  0.500  0.000
O  0.063  0.730  0.519
O  0.143  0.754  0.038
O  0.431  0.211  0.686
O  0.460  0.315  0.237
O  0.540  0.685  0.763
O  0.569  0.789  0.314
O  0.857  0.246  0.962
O  0.937  0.270  0.481

As for the space-group type: P-1. For the uncorrected formation energy, the calculation gives -30.05 eV/f.u. As for the crystal system: triclinic.

4.
## NaRe2BiO8 (PBE)

Data for a relaxed structure of NaRe2BiO8.

a = 6.402 Å, b = 6.402 Å, c = 6.026 Å
α = 105.97°, β = 105.97°, γ = 58.09°
Fractional coordinates of all 12 atoms:
Na  0.000  0.000  0.000
Re  0.202  0.202  0.689
Re  0.798  0.798  0.311
Bi  0.500  0.500  0.500
O  0.102  0.629  0.225
O  0.137  0.137  0.380
O  0.370  0.370  0.751
O  0.371  0.898  0.775
O  0.629  0.102  0.225
O  0.630  0.630  0.249
O  0.863  0.863  0.620
O  0.898  0.371  0.775

As for the space-group type: C2/m. For the uncorrected formation energy, the calculation gives -17.32 eV/f.u. As for the crystal system: monoclinic. The calculation puts the density of states at the Fermi level at 4.889 states/eV/f.u.

5.
## Pm4GaC2 (PBE)

Data for a relaxed structure of Pm4GaC2.

a = 6.660 Å, b = 6.660 Å, c = 13.153 Å
α = 90.00°, β = 90.00°, γ = 146.64°
Fractional coordinates of all 14 atoms:
Pm  0.000  0.000  0.000
Pm  0.000  0.000  0.500
Pm  0.267  0.733  0.606
Pm  0.267  0.733  0.894
Pm  0.429  0.571  0.250
Pm  0.571  0.429  0.750
Pm  0.733  0.267  0.106
Pm  0.733  0.267  0.394
Ga  0.108  0.892  0.250
Ga  0.892  0.108  0.750
C  0.362  0.638  0.060
C  0.362  0.638  0.440
C  0.638  0.362  0.560
C  0.638  0.362  0.940

As for the space-group type: Cmcm. The formation energy comes out at -0.19 eV/atom. As for the crystal system: orthorhombic. The calculation puts the density of states at the Fermi level at 5.365 states/eV/f.u.

6.
## LaFeP3 (PBE)

Data for a relaxed structure of LaFeP3.

a = 4.499 Å, b = 4.499 Å, c = 4.499 Å
α = 90.00°, β = 90.00°, γ = 90.00°
Fractional coordinates of all 5 atoms:
La  0.000  0.000  0.000
Fe  0.500  0.500  0.500
P  0.000  0.500  0.500
P  0.500  0.000  0.500
P  0.500  0.500  0.000

As for the space-group type: Pm-3m. The energy relative to the lowest polymorph listed for this composition comes out at 0 meV per atom. The formation energy comes out at -0.32 eV/atom. As for the crystal system: cubic. The calculation puts the density of states at the Fermi level at 8.237 states/eV/f.u.

7.
## CsCaNi3 (PBE)

Data for a relaxed structure of CsCaNi3.

a = 4.933 Å, b = 4.933 Å, c = 4.933 Å
α = 90.00°, β = 90.00°, γ = 90.00°
Fractional coordinates of all 5 atoms:
Cs  0.000  0.000  0.000
Ca  0.500  0.500  0.500
Ni  0.000  0.000  0.500
Ni  0.000  0.500  0.000
Ni  0.500  0.000  0.000

As for the space-group type: Pm-3m. The energy relative to the lowest polymorph listed for this composition comes out at 245 meV per atom. The formation energy comes out at 1.51 eV/atom. As for the crystal system: cubic. The calculation puts the density of states at the Fermi level at 4.295 states/eV/f.u.

8.
## BaTlSe (PBE)

Data for a relaxed structure of BaTlSe.

a = 5.431 Å, b = 5.431 Å, c = 5.431 Å
α = 60.00°, β = 60.00°, γ = 60.00°
Fractional coordinates of all 3 atoms:
Ba  0.000  0.000  0.000
Tl  0.500  0.500  0.500
Se  0.250  0.250  0.250

As for the space-group type: F-43m. The energy relative to the lowest polymorph listed for this composition comes out at 237 meV per atom. For the uncorrected formation energy, the calculation gives -2.77 eV/f.u. As for the crystal system: cubic. The calculation puts the density of states at the Fermi level at 2.179 states/eV/f.u.

9.
## CsReC2 (PBE)

Data for a relaxed structure of CsReC2.

a = 4.305 Å, b = 4.305 Å, c = 4.305 Å
α = 60.00°, β = 60.00°, γ = 60.00°
Fractional coordinates of all 4 atoms:
Cs  0.000  0.000  0.000
Re  0.500  0.500  0.500
C  0.250  0.250  0.250
C  0.750  0.750  0.750

As for the space-group type: Fm-3m. The energy relative to the lowest polymorph listed for this composition comes out at 2907 meV per atom. The formation energy comes out at 3.36 eV/atom. As for the crystal system: cubic. The calculation puts the density of states at the Fermi level at 4.624 states/eV/f.u.

10.
## BaAl2Ga2 (PBE)

Data for a relaxed structure of BaAl2Ga2.

a = 6.363 Å, b = 6.363 Å, c = 6.363 Å
α = 137.10°, β = 137.10°, γ = 62.28°
Fractional coordinates of all 5 atoms:
Ba  0.000  0.000  0.000
Al  0.376  0.376  0.000
Al  0.624  0.624  0.000
Ga  0.250  0.750  0.500
Ga  0.750  0.250  0.500

As for the space-group type: I4/mmm. The formation energy comes out at -0.34 eV/atom. As for the crystal system: tetragonal. The calculation puts the density of states at the Fermi level at 2.111 states/eV/f.u.

11.
## SrPaSi4 (PBE)

Data for a relaxed structure of SrPaSi4.

a = 7.667 Å, b = 16.082 Å, c = 4.307 Å
α = 90.00°, β = 90.00°, γ = 90.00°
Fractional coordinates of all 24 atoms:
Sr  0.124  0.159  0.000
Sr  0.376  0.659  0.000
Sr  0.624  0.341  0.000
Sr  0.876  0.841  0.000
Pa  0.126  0.414  0.000
Pa  0.374  0.914  0.000
Pa  0.626  0.086  0.000
Pa  0.874  0.586  0.000
Si  0.031  0.691  0.500
Si  0.118  0.949  0.500
Si  0.130  0.543  0.500
Si  0.222  0.807  0.500
Si  0.278  0.307  0.500
Si  0.370  0.043  0.500
Si  0.382  0.449  0.500
Si  0.469  0.191  0.500
Si  0.531  0.809  0.500
Si  0.618  0.551  0.500
Si  0.630  0.957  0.500
Si  0.722  0.693  0.500
Si  0.778  0.193  0.500
Si  0.870  0.457  0.500
Si  0.882  0.051  0.500
Si  0.969  0.309  0.500

As for the space-group type: Pbam. For the uncorrected formation energy, the calculation gives -1.85 eV/f.u. As for the crystal system: orthorhombic. The calculation puts the density of states at the Fermi level at 4.401 states/eV/f.u.

12.
## Pm6S5 (PBE)

Data for a relaxed structure of Pm6S5.

a = 6.940 Å, b = 6.940 Å, c = 6.955 Å
α = 99.61°, β = 99.61°, γ = 119.68°
Fractional coordinates of all 11 atoms:
Pm  0.077  0.417  0.747
Pm  0.246  0.246  0.257
Pm  0.417  0.077  0.747
Pm  0.583  0.923  0.253
Pm  0.754  0.754  0.743
Pm  0.923  0.583  0.253
S  0.000  0.000  0.500
S  0.166  0.834  0.000
S  0.333  0.667  0.500
S  0.667  0.333  0.500
S  0.834  0.166  0.000

As for the space-group type: C2/m. For the uncorrected formation energy, the calculation gives -20.35 eV/f.u. As for the crystal system: monoclinic. The calculation puts the density of states at the Fermi level at 4.713 states/eV/f.u.

13.
## SrRuW2 (PBE)

Data for a relaxed structure of SrRuW2.

a = 5.414 Å, b = 5.414 Å, c = 5.374 Å
α = 103.90°, β = 103.90°, γ = 33.51°
Fractional coordinates of all 4 atoms:
Sr  0.000  0.000  0.000
Ru  0.500  0.500  0.500
W  0.211  0.211  0.648
W  0.789  0.789  0.352

As for the space-group type: C2/m. The energy relative to the lowest polymorph listed for this composition comes out at 84 meV per atom. The formation energy comes out at 0.75 eV/atom. As for the crystal system: monoclinic. The calculation puts the density of states at the Fermi level at 2.069 states/eV/f.u.

In the order shown, the computed VASP energy values come out to -3.527 -2.893 -7.992 -7.257 -5.976 -6.246 -2.526 -3.513 -4.572 -3.435 -5.786 -6.317 -8.469 eV per atom.
In the order shown, the computed spin magnetization values come out to 0.00 0.00 0.00 0.00 0.00 0.00 0.00 0.00 0.00 0.00 0.00 0.00 0.00 μB/cell.